A relaxed Cd2NiPt crystal. Source: Alexandria via LeMat-Bulk, functional PBEsol.

Uncorrected energy   -4.01 eV per atom
Formation enthalpy at 0 K   -0.13 eV per atom

a b c (Å): 4.0778 4.0778 3.7809
angles (deg): 90.00 90.00 90.00
Closest atoms and distances in Å follow each position.
Space group P4/mmm (No. 123)
Asymmetric unit:
Cd: 0.0000 0.5000 0.0000 (multiplicity 2)  4 Pt 2.78, 4 Ni 2.78, 4 Cd 2.88
Ni: 0.0000 0.0000 0.5000 (multiplicity 1)  8 Cd 2.78, 4 Pt 2.88
Pt: 0.5000 0.5000 0.5000 (multiplicity 1)  8 Cd 2.78, 4 Ni 2.88


A relaxed CdNiPt2 crystal. Source: Alexandria via LeMat-Bulk, functional PBEsol.

Uncorrected energy   -5.43 eV per atom
Formation enthalpy at 0 K   -0.11 eV per atom

a b c (Å): 2.8095 3.6461 5.7929
angles (deg): 90.00 90.00 90.00
Closest atoms and distances in Å follow each position.
Space group Pmmm (No. 47)
Asymmetric unit:
Cd: 0.0000 0.0000 0.0000 (multiplicity 1)  8 Pt 2.79, 2 Cd 2.81, 2 Ni 2.90
Ni: 0.0000 0.0000 0.5000 (multiplicity 1)  8 Pt 2.65, 2 Ni 2.81, 2 Cd 2.90
Pt: 0.5000 0.5000 0.2729 (multiplicity 2)  3 Pt 2.63-2.81, 4 Ni 2.65, 4 Cd 2.79


A relaxed CdNi2Pt crystal. Source: Alexandria via LeMat-Bulk, functional PBEsol.

Uncorrected energy   -5.02 eV per atom
Formation enthalpy at 0 K   0.10 eV per atom

a b c (Å): 2.7334 2.7334 25.5607
angles (deg): 90.00 90.00 120.00
Closest atoms and distances in Å follow each position.
Space group R3m (No. 160, hexagonal axes)
Asymmetric unit:
Cd: 0.0000 0.0000 0.0000 (multiplicity 3)  3 Ni 2.71, 6 Cd 2.73, 3 Pt 2.91
Ni: 0.0000 0.0000 0.4903 (multiplicity 3)  3 Ni 2.40, 3 Pt 2.60
Ni: 0.0000 0.0000 0.7528 (multiplicity 3)  3 Ni 2.40
Pt: 0.0000 0.0000 0.2379 (multiplicity 3)  3 Ni 2.60, 6 Pt 2.73, 3 Cd 2.91


A relaxed CdNi2Pt crystal. Source: Alexandria via LeMat-Bulk, functional PBEsol.

Uncorrected energy   -5.16 eV per atom
Formation enthalpy at 0 K   -0.04 eV per atom

a b c (Å): 5.6104 7.0112 2.7320
angles (deg): 90.00 90.00 90.00
Closest atoms and distances in Å follow each position.
Space group Cmmm (No. 65)
Asymmetric unit:
Cd: 0.0000 0.0000 0.0000 (multiplicity 2)  8 Ni 2.63, 2 Cd 2.73, 2 Pt 2.81
Ni: 0.2500 0.2500 0.5000 (multiplicity 4)  4 Cd 2.63, 4 Pt 2.63, 4 Ni 2.73-2.81
Pt: 0.0000 0.5000 0.0000 (multiplicity 2)  8 Ni 2.63, 2 Pt 2.73, 2 Cd 2.81


A relaxed Ta2CdNiPt crystal. Source: Alexandria via LeMat-Bulk, functional PBEsol.

Uncorrected energy   -5.56 eV per atom
Formation enthalpy at 0 K   2.33 eV per atom

a b c (Å): 4.8620 4.8620 4.7203
angles (deg): 90.00 90.00 90.00
Closest atoms and distances in Å follow each position.
Space group P4/mmm (No. 123)
Asymmetric unit:
Ta: 0.0000 0.5000 0.0000 (multiplicity 2)  2 Cd 2.43
Cd: 0.0000 0.0000 0.0000 (multiplicity 1)  2 Pt 2.36, 4 Ta 2.43
Ni: 0.5000 0.5000 0.5000 (multiplicity 1)  8 Ta 3.39, 4 Pt 3.44
Pt: 0.0000 0.0000 0.5000 (multiplicity 1)  2 Cd 2.36


A relaxed ZrCdNiPt2 crystal. Source: Alexandria via LeMat-Bulk, functional PBEsol.

Uncorrected energy   -5.64 eV per atom
Formation enthalpy at 0 K   0.43 eV per atom

a b c (Å): 4.5942 4.5942 4.4612
angles (deg): 90.00 90.00 90.00
Closest atoms and distances in Å follow each position.
Space group P4/mmm (No. 123)
Asymmetric unit:
Zr: 0.0000 0.0000 0.0000 (multiplicity 1)  8 Pt 3.20, 4 Cd 3.25
Cd: 0.5000 0.5000 0.0000 (multiplicity 1)  2 Ni 2.23
Ni: 0.5000 0.5000 0.5000 (multiplicity 1)  2 Cd 2.23, 4 Pt 2.30
Pt: 0.0000 0.5000 0.5000 (multiplicity 2)  2 Ni 2.30